A relaxed HgBi2Pb crystal. Source: the Alexandria database, functional PBE.

Properties
The calculation puts the energy of formation from the pure elements at 0.05 eV/atom. The calculation puts the mass density at 11099 kg/m³. For the energy, the calculation gives -2.889 eV per atom.

a b c (Å): 6.0464 6.0464 6.8053
angles (deg): 90.00 90.00 96.70
Last column: nearest neighbours and their distance in Å.
Fractional coordinates of all 8 atoms:
Hg  0.2104  0.7896  0.7500  2 Pb 3.40, 8 Bi 3.49-3.52
Hg  0.7896  0.2104  0.2500  2 Pb 3.40, 8 Bi 3.49-3.52
Bi  0.2961  0.2961  0.0000  3 Bi 3.28-3.40, 4 Pb 3.45-3.55, 4 Hg 3.49-3.52
Bi  0.2961  0.2961  0.5000  3 Bi 3.28-3.40, 4 Pb 3.45-3.55, 4 Hg 3.49-3.52
Bi  0.7039  0.7039  0.0000  3 Bi 3.28-3.40, 4 Pb 3.45-3.55, 4 Hg 3.49-3.52
Bi  0.7039  0.7039  0.5000  3 Bi 3.28-3.40, 4 Pb 3.45-3.55, 4 Hg 3.49-3.52
Pb  0.2216  0.7784  0.2500  2 Hg 3.40, 8 Bi 3.45-3.55
Pb  0.7784  0.2216  0.7500  2 Hg 3.40, 8 Bi 3.45-3.55